Record 1
VASP calculation (PBE) on an optimized crystal structure of NiW.

Properties
- DFT total energy: -9.30 eV per atom
- M_tot: 0.000 μB per atom
- Energy relative to the elements: 0.07 eV/atom
- DOS at the Fermi energy: 9.474 states/eV/cell

Cell: 3.7942 3.8038 7.5371 Å, 90.00 90.00 90.00°
Last column: nearest neighbours and their distance in Å.
Sites, in units of the cell vectors:
Ni 0.0000 0.2500 0.1116  8 Ni 2.54-2.69, 4 W 2.61
Ni 0.0000 0.7500 0.8884  8 Ni 2.54-2.69, 4 W 2.61
Ni 0.5000 0.2500 0.8884  8 Ni 2.54-2.69, 4 W 2.61
Ni 0.5000 0.7500 0.1116  8 Ni 2.54-2.69, 4 W 2.61
W 0.0000 0.2500 0.6515  4 Ni 2.61, 4 W 2.69
W 0.0000 0.7500 0.3485  4 Ni 2.61, 4 W 2.69
W 0.5000 0.2500 0.3485  4 Ni 2.61, 4 W 2.69
W 0.5000 0.7500 0.6515  4 Ni 2.61, 4 W 2.69

Record 2
VASP calculation (PBE) on an optimized crystal structure of LiNiSb2.

Properties
- DFT total energy: -4.26 eV per atom
- M_tot: 0.000 μB per atom
- DOS at the Fermi energy: 4.768 states/eV/cell
- Uncorrected formation energy: -0.2764 eV per atom

Cell: 4.0096 4.0096 18.5528 Å, 90.00 90.00 120.00°
Last column: nearest neighbours and their distance in Å.
Sites, in units of the cell vectors:
Li 0.0000 0.0000 0.0000  1 Ni 2.93, 6 Sb 2.94-3.10
Li 0.3333 0.6667 0.6667  1 Ni 2.93, 6 Sb 2.94-3.10
Li 0.6667 0.3333 0.3333  1 Ni 2.93, 6 Sb 2.94-3.10
Ni 0.0000 0.0000 0.8422  6 Sb 2.57-2.61
Ni 0.3333 0.6667 0.5089  6 Sb 2.57-2.61
Ni 0.6667 0.3333 0.1756  6 Sb 2.57-2.61
Sb 0.0000 0.0000 0.2358  3 Ni 2.57
Sb 0.0000 0.0000 0.4442  3 Ni 2.61
Sb 0.3333 0.6667 0.1108  3 Ni 2.61
Sb 0.3333 0.6667 0.9025  3 Ni 2.57
Sb 0.6667 0.3333 0.5691  3 Ni 2.57
Sb 0.6667 0.3333 0.7775  3 Ni 2.61

Record 3
VASP calculation (PBE) on an optimized crystal structure of LiRe2Ir.

Properties
- DFT total energy: -8.81 eV per atom
- M_tot: 0.000 μB per atom
- Energy relative to the elements: 0.11 eV/atom
- DOS at the Fermi energy: 2.530 states/eV/cell

Cell: 3.0380 3.0380 5.9455 Å, 90.00 90.00 90.00°
Last column: nearest neighbours and their distance in Å.
Sites, in units of the cell vectors:
Li 0.0000 0.0000 0.0000  4 Ir 2.49, 4 Re 2.59
Re 0.0000 0.0000 0.4914  4 Re 2.60, 4 Ir 2.77
Re 0.5000 0.5000 0.2448  4 Li 2.59, 4 Re 2.60, 1 Ir 2.72
Ir 0.5000 0.5000 0.7868  4 Li 2.49, 5 Re 2.72-2.77

Record 4
VASP calculation (PBE) on an optimized crystal structure of Zr4Hg3.

Properties
- DFT total energy: -5.14 eV per atom
- M_tot: 0.000 μB per atom
- Energy relative to the elements: -0.13 eV/atom
- DOS at the Fermi energy: 18.298 states/eV/cell

Cell: 3.2925 4.0624 22.9993 Å, 90.00 90.00 90.00°
Last column: nearest neighbours and their distance in Å.
Sites, in units of the cell vectors:
Zr 0.0000 0.0000 0.0697  8 Hg 3.07-3.11, 4 Zr 3.21-3.29
Zr 0.0000 0.0000 0.2114  5 Hg 3.05-3.35, 7 Zr 3.16-3.29
Zr 0.0000 0.0000 0.7886  5 Hg 3.05-3.35, 7 Zr 3.16-3.29
Zr 0.0000 0.0000 0.9303  8 Hg 3.07-3.11, 4 Zr 3.21-3.29
Zr 0.5000 0.5000 0.2886  5 Hg 3.05-3.35, 7 Zr 3.16-3.29
Zr 0.5000 0.5000 0.4303  8 Hg 3.07-3.11, 4 Zr 3.21-3.29
Zr 0.5000 0.5000 0.5697  8 Hg 3.07-3.11, 4 Zr 3.21-3.29
Zr 0.5000 0.5000 0.7114  5 Hg 3.05-3.35, 7 Zr 3.16-3.29
Hg 0.0000 0.0000 0.3570  9 Zr 3.05-3.35, 3 Hg 3.29
Hg 0.0000 0.0000 0.5000  8 Zr 3.07, 4 Hg 3.29
Hg 0.0000 0.0000 0.6430  9 Zr 3.05-3.35, 3 Hg 3.29
Hg 0.5000 0.5000 0.0000  8 Zr 3.07, 4 Hg 3.29
Hg 0.5000 0.5000 0.1430  9 Zr 3.05-3.35, 3 Hg 3.29
Hg 0.5000 0.5000 0.8570  9 Zr 3.05-3.35, 3 Hg 3.29

Record 5
VASP calculation (PBE) on an optimized crystal structure of KTm2CuF8.

Properties
- DFT total energy: -5.84 eV per atom
- M_tot: 0.005 μB per atom
- DOS at the Fermi energy: 0.000 states/eV/cell
- Uncorrected formation energy: -3.4129 eV per atom

Cell: 4.2066 6.5027 7.1153 Å, 97.49 90.81 90.60°
Last column: nearest neighbours and their distance in Å.
Sites, in units of the cell vectors:
K 0.0000 0.0000 0.0000  4 F 2.56-2.73
Tm 0.4340 0.4581 0.7427  7 F 2.17-2.26
Tm 0.5660 0.5419 0.2573  7 F 2.17-2.26
Cu 0.0000 0.0000 0.5000  2 F 1.84
F 0.0619 0.4555 0.2332  2 Tm 2.17-2.19
F 0.1911 0.1550 0.7075  1 Cu 1.84
F 0.4195 0.6883 0.5428  2 Tm 2.20-2.23
F 0.4448 0.6973 0.9993  2 Tm 2.24-2.26
F 0.5552 0.3027 0.0007  2 Tm 2.24-2.26
F 0.5805 0.3117 0.4572  2 Tm 2.20-2.23
F 0.8089 0.8450 0.2925  1 Cu 1.84
F 0.9381 0.5445 0.7668  2 Tm 2.17-2.19

Record 6
VASP calculation (PBE) on an optimized crystal structure of Ce4SbSe2.

Properties
- DFT total energy: -6.14 eV per atom
- M_tot: 0.817 μB per atom
- DOS at the Fermi energy: 54.431 states/eV/cell
- Uncorrected formation energy: -1.1614 eV per atom

Cell: 9.5638 8.2047 8.1836 Å, 71.40 54.40 54.20°
Last column: nearest neighbours and their distance in Å.
Sites, in units of the cell vectors:
Ce 0.1221 0.3050 0.3068  3 Se 2.91-2.98, 1 Sb 3.15
Ce 0.2339 0.6932 0.6950  3 Se 2.91-2.98, 1 Sb 3.15
Ce 0.3050 0.1221 0.7661  3 Se 2.91-2.98, 1 Sb 3.15
Ce 0.3068 0.7661 0.1221  3 Se 2.91-2.98, 1 Sb 3.15
Ce 0.6932 0.2339 0.8779  3 Se 2.91-2.98, 1 Sb 3.15
Ce 0.6950 0.8779 0.2339  3 Se 2.91-2.98, 1 Sb 3.15
Ce 0.7661 0.3068 0.3050  3 Se 2.91-2.98, 1 Sb 3.15
Ce 0.8779 0.6950 0.6932  3 Se 2.91-2.98, 1 Sb 3.15
Sb 0.3750 0.3750 0.3750  8 Ce 3.15-3.41
Sb 0.6250 0.6250 0.6250  8 Ce 3.15-3.41
Se 0.0000 0.0000 0.0000  6 Ce 2.91-2.98
Se 0.0000 0.0000 0.5000  6 Ce 2.91-2.98
Se 0.0000 0.5000 0.0000  6 Ce 2.91-2.98
Se 0.5000 0.0000 0.0000  6 Ce 2.91-2.98

Record 7
VASP calculation (PBE) on an optimized crystal structure of NbV2S4.

Properties
- DFT total energy: -7.12 eV per atom
- M_tot: 0.031 μB per atom
- DOS at the Fermi energy: 12.557 states/eV/cell
- Uncorrected formation energy: -0.7203 eV per atom

Cell: 5.8013 5.8013 11.9700 Å, 90.00 90.00 146.93°
Last column: nearest neighbours and their distance in Å.
Sites, in units of the cell vectors:
Nb 0.1121 0.8879 0.7500  6 S 2.50-2.53
Nb 0.8879 0.1121 0.2500  6 S 2.50-2.53
V 0.3370 0.6630 0.5685  4 S 2.26-2.45
V 0.3370 0.6630 0.9315  4 S 2.26-2.45
V 0.6630 0.3370 0.0685  4 S 2.26-2.45
V 0.6630 0.3370 0.4315  4 S 2.26-2.45
S 0.0000 0.0000 0.0000  4 V 2.59
S 0.0000 0.0000 0.5000  4 V 2.59
S 0.2984 0.7016 0.1167  3 V 2.26-2.31, 2 Nb 2.50
S 0.2984 0.7016 0.3833  3 V 2.26-2.31, 2 Nb 2.50
S 0.4398 0.5602 0.7500  2 V 2.45, 2 Nb 2.53
S 0.5602 0.4398 0.2500  2 V 2.45, 2 Nb 2.53
S 0.7016 0.2984 0.6167  3 V 2.26-2.31, 2 Nb 2.50
S 0.7016 0.2984 0.8833  3 V 2.26-2.31, 2 Nb 2.50

Record 8
VASP calculation (PBE) on an optimized crystal structure of Ca2FeBr.

Properties
- DFT total energy: -3.17 eV per atom
- M_tot: 0.673 μB per atom
- DOS at the Fermi energy: 13.652 states/eV/cell
- Uncorrected formation energy: 0.3653 eV per atom

Cell: 7.5772 7.5772 7.5772 Å, 90.00 90.00 90.00°
Last column: nearest neighbours and their distance in Å.
Sites, in units of the cell vectors:
Ca 0.0000 0.0000 0.0000  4 Fe 3.28, 4 Ca 3.28
Ca 0.0000 0.5000 0.5000  4 Fe 3.28, 4 Ca 3.28
Ca 0.2500 0.2500 0.2500  4 Br 3.28, 4 Ca 3.28
Ca 0.2500 0.7500 0.7500  4 Br 3.28, 4 Ca 3.28
Ca 0.5000 0.0000 0.5000  4 Fe 3.28, 4 Ca 3.28
Ca 0.5000 0.5000 0.0000  4 Fe 3.28, 4 Ca 3.28
Ca 0.7500 0.2500 0.7500  4 Br 3.28, 4 Ca 3.28
Ca 0.7500 0.7500 0.2500  4 Br 3.28, 4 Ca 3.28
Fe 0.2500 0.2500 0.7500  4 Br 3.28, 4 Ca 3.28
Fe 0.2500 0.7500 0.2500  4 Br 3.28, 4 Ca 3.28
Fe 0.7500 0.2500 0.2500  4 Br 3.28, 4 Ca 3.28
Fe 0.7500 0.7500 0.7500  4 Br 3.28, 4 Ca 3.28
Br 0.0000 0.0000 0.5000  4 Fe 3.28, 4 Ca 3.28
Br 0.0000 0.5000 0.0000  4 Fe 3.28, 4 Ca 3.28
Br 0.5000 0.0000 0.0000  4 Fe 3.28, 4 Ca 3.28
Br 0.5000 0.5000 0.5000  4 Fe 3.28, 4 Ca 3.28